Compound: CsZnN
Source: Alexandria
Functional: PBE-GGA
Structure: optimized geometry Values from VASP.

Properties
* SG: Pnma (62)
* final energy: -3.313 eV per atom
* mass density: 4.74 g/cm³
* magnetic moment: 0.0 μB/cell
* Fermi-level density of states: 0.933 states/eV per cell

```
&SYSTEM
  ibrav = 0, nat = 12, ntyp = 3
/
ATOMIC_SPECIES
Cs 132.91 Cs.upf
Zn 65.41 Zn.upf
N 14.01 N.upf
ATOMIC_POSITIONS angstrom
Cs 6.165 0.922 4.164
Cs 3.930 2.767 10.154
Cs 0.565 2.767 7.815
Cs 2.800 0.922 1.825
Zn 0.531 0.922 11.195
Zn 2.834 2.767 5.205
Zn 6.199 2.767 0.785
Zn 3.896 0.922 6.774
N 2.294 0.922 5.096
N 1.071 2.767 11.085
N 4.436 2.767 6.884
N 5.658 0.922 0.894
CELL_PARAMETERS angstrom
6.730 0.000 0.000
0.000 3.689 0.000
0.000 0.000 11.979
```



Compound: CsZr2ZnN
Source: Alexandria
Functional: PBE-GGA
Structure: optimized geometry Values from VASP.

Properties
* SG: P4/mmm (123)
* final energy: -5.182 eV per atom
* mass density: 4.50 g/cm³
* magnetic moment: 0.0 μB/cell
* Fermi-level density of states: 5.969 states/eV per cell

```
&SYSTEM
  ibrav = 0, nat = 5, ntyp = 4
/
ATOMIC_SPECIES
Cs 132.91 Cs.upf
Zn 65.41 Zn.upf
Zr 91.22 Zr.upf
N 14.01 N.upf
ATOMIC_POSITIONS angstrom
Cs 2.213 3.719 2.213
Zn 0.000 3.719 0.000
Zr 0.000 0.000 2.213
Zr 2.213 0.000 0.000
N 0.000 0.000 0.000
CELL_PARAMETERS angstrom
4.427 0.000 0.000
0.000 7.439 0.000
0.000 0.000 4.427
```



Compound: Cs2ZrN
Source: Alexandria
Functional: PBE-GGA
Structure: optimized geometry Values from VASP.

Properties
* SG: Fm-3m (225)
* mass density: 4.63 g/cm³
* energy relative to the lowest polymorph listed for this composition: 1666 meV/atom
* magnetic moment: 3.0 μB/cell
* Fermi-level density of states: 3.786 states/eV per cell

```
&SYSTEM
  ibrav = 0, nat = 4, ntyp = 3
/
ATOMIC_SPECIES
Cs 132.91 Cs.upf
Zr 91.22 Zr.upf
N 14.01 N.upf
ATOMIC_POSITIONS angstrom
Cs 2.026 2.026 2.026
Cs 6.077 6.077 6.077
Zr 4.052 4.052 4.052
N 0.000 0.000 0.000
CELL_PARAMETERS angstrom
0.000 4.052 4.052
4.052 0.000 4.052
4.052 4.052 0.000
```



Compound: CsZr3N
Source: Alexandria
Functional: PBE-GGA
Structure: optimized geometry Values from VASP.

Properties
* SG: Pm-3m (221)
* final energy: -6.610 eV per atom
* mass density: 6.68 g/cm³
* magnetic moment: 0.0 μB/cell
* Fermi-level density of states: 6.890 states/eV per cell

```
&SYSTEM
  ibrav = 0, nat = 5, ntyp = 3
/
ATOMIC_SPECIES
Cs 132.91 Cs.upf
Zr 91.22 Zr.upf
N 14.01 N.upf
ATOMIC_POSITIONS angstrom
Cs 2.356 2.356 2.356
Zr 0.000 2.356 0.000
Zr 0.000 0.000 2.356
Zr 2.356 0.000 0.000
N 0.000 0.000 0.000
CELL_PARAMETERS angstrom
4.712 0.000 0.000
0.000 4.712 0.000
0.000 0.000 4.712
```



Compound: CsZr3N
Source: Alexandria
Functional: PBE-GGA
Structure: optimized geometry Values from VASP.

Properties
* SG: Pm-3m (221)
* final energy: -3.893 eV per atom
* mass density: 4.86 g/cm³
* magnetic moment: 2.1 μB/cell
* Fermi-level density of states: 3.536 states/eV per cell

```
&SYSTEM
  ibrav = 0, nat = 5, ntyp = 3
/
ATOMIC_SPECIES
Cs 132.91 Cs.upf
Zr 91.22 Zr.upf
N 14.01 N.upf
ATOMIC_POSITIONS angstrom
Cs 0.000 0.000 0.000
Zr -0.904 -2.054 -1.351
Zr 0.919 -1.618 1.844
Zr -2.280 0.163 1.279
N -2.266 -3.508 1.772
CELL_PARAMETERS angstrom
-4.560 0.326 2.558
-1.809 -4.107 -2.702
1.838 -3.235 3.687
```



Compound: Cs2ZrN
Source: Alexandria
Functional: PBE-GGA
Structure: optimized geometry Values from VASP.

Properties
* SG: I-42d (122)
* mass density: 3.19 g/cm³
* energy relative to the lowest polymorph listed for this composition: 0 meV/atom
* magnetic moment: 2.0 μB/cell
* Fermi-level density of states: 5.070 states/eV per cell

```
&SYSTEM
  ibrav = 0, nat = 8, ntyp = 3
/
ATOMIC_SPECIES
Cs 132.91 Cs.upf
Zr 91.22 Zr.upf
N 14.01 N.upf
ATOMIC_POSITIONS angstrom
Cs 5.771 -0.163 6.041
Cs -2.524 -1.002 3.428
Cs 2.334 -3.762 5.201
Cs 1.973 1.254 3.035
Zr 0.000 0.000 0.000
Zr -1.466 -4.248 5.167
N -1.060 1.342 1.233
N 5.243 2.412 3.686
CELL_PARAMETERS angstrom
5.649 8.002 -0.248
-7.769 -5.318 2.714
5.897 -4.521 6.386
```



Compound: CsZrN3
Source: Alexandria
Functional: PBE-GGA
Structure: optimized geometry Values from VASP.

Properties
* SG: Pm-3m (221)
* final energy: -6.416 eV per atom
* mass density: 5.00 g/cm³
* magnetic moment: 4.0 μB/cell
* Fermi-level density of states: 1.745 states/eV per cell

```
&SYSTEM
  ibrav = 0, nat = 5, ntyp = 3
/
ATOMIC_SPECIES
Cs 132.91 Cs.upf
Zr 91.22 Zr.upf
N 14.01 N.upf
ATOMIC_POSITIONS angstrom
Cs 2.228 2.228 2.228
Zr 0.000 0.000 0.000
N 0.000 2.228 0.000
N 0.000 0.000 2.228
N 2.228 0.000 0.000
CELL_PARAMETERS angstrom
4.455 0.000 0.000
0.000 4.455 0.000
0.000 0.000 4.455
```



Compound: CsZrN3
Source: Alexandria
Functional: PBE-GGA
Structure: optimized geometry Values from VASP.

Properties
* SG: Pm-3m (221)
* final energy: -4.463 eV per atom
* mass density: 5.73 g/cm³
* magnetic moment: 0.0 μB/cell
* Fermi-level density of states: 2.071 states/eV per cell

```
&SYSTEM
  ibrav = 0, nat = 5, ntyp = 3
/
ATOMIC_SPECIES
Cs 132.91 Cs.upf
Zr 91.22 Zr.upf
N 14.01 N.upf
ATOMIC_POSITIONS angstrom
Cs 0.000 0.000 0.000
Zr 2.129 2.129 2.129
N 0.000 2.129 0.000
N 0.000 0.000 2.129
N 2.129 0.000 0.000
CELL_PARAMETERS angstrom
4.258 0.000 0.000
0.000 4.258 0.000
0.000 0.000 4.258
```



Compound: CsZr2N
Source: Alexandria
Functional: PBE-GGA
Structure: optimized geometry Values from VASP.

Properties
* SG: I4_1/amd (141)
* final energy: -6.501 eV per atom
* mass density: 4.55 g/cm³
* magnetic moment: 0.0 μB/cell
* Fermi-level density of states: 11.025 states/eV per cell

```
&SYSTEM
  ibrav = 0, nat = 8, ntyp = 3
/
ATOMIC_SPECIES
Cs 132.91 Cs.upf
Zr 91.22 Zr.upf
N 14.01 N.upf
ATOMIC_POSITIONS angstrom
Cs 0.000 0.000 0.000
Cs 6.987 3.494 2.463
Zr 3.495 1.747 1.232
Zr 3.492 5.241 1.232
Zr 5.241 6.986 3.695
Zr 8.734 6.989 3.695
N 3.494 3.494 0.000
N 3.494 6.987 2.463
CELL_PARAMETERS angstrom
6.987 0.000 0.000
0.000 6.987 0.000
3.494 3.494 4.926
```



Compound: Cs4Na3
Source: Alexandria
Functional: PBE-GGA
Structure: optimized geometry Values from VASP.

Properties
* SG: C2/m (12)
* mass density: 1.65 g/cm³
* energy relative to the lowest polymorph listed for this composition: 30 meV/atom
* magnetic moment: 0.0 μB/cell
* Fermi-level density of states: 5.233 states/eV per cell

```
&SYSTEM
  ibrav = 0, nat = 7, ntyp = 2
/
ATOMIC_SPECIES
Cs 132.91 Cs.upf
Na 22.99 Na.upf
ATOMIC_POSITIONS angstrom
Cs -12.021 6.089 10.530
Cs -1.607 1.410 1.963
Cs -6.739 1.552 4.052
Cs -6.888 5.947 8.441
Na -2.729 -1.901 -0.864
Na -7.561 5.778 4.188
Na -10.898 9.400 13.357
CELL_PARAMETERS angstrom
-4.836 -0.833 -3.360
1.495 -4.057 4.117
-10.286 12.389 11.736
```



Compound: Cs2Na3
Source: Alexandria
Functional: PBE-GGA
Structure: optimized geometry Values from VASP.

Properties
* SG: Fdd2 (43)
* mass density: 1.73 g/cm³
* energy relative to the lowest polymorph listed for this composition: 0 meV/atom
* magnetic moment: 0.0 μB/cell
* Fermi-level density of states: 7.072 states/eV per cell

```
&SYSTEM
  ibrav = 0, nat = 10, ntyp = 2
/
ATOMIC_SPECIES
Cs 132.91 Cs.upf
Na 22.99 Na.upf
ATOMIC_POSITIONS angstrom
Cs -0.209 0.087 -8.876
Cs -7.113 -6.080 -10.482
Cs -5.813 -0.989 -11.143
Cs -1.683 -3.776 -12.186
Na -0.185 1.309 -4.230
Na -3.578 -3.586 -7.775
Na -1.544 -1.964 -5.125
Na -5.781 -4.012 -14.289
Na -7.165 -3.008 -7.381
Na 0.014 -4.196 -8.063
CELL_PARAMETERS angstrom
-0.347 2.457 -7.940
3.120 -4.463 -5.875
-10.079 -4.098 -5.185
```



Compound: CsNa12
Source: Alexandria
Functional: PBE-GGA
Structure: optimized geometry Values from VASP.

Properties
* SG: I4/mmm (139)
* final energy: -1.262 eV per atom
* mass density: 1.23 g/cm³
* magnetic moment: 0.0 μB/cell
* Fermi-level density of states: 7.863 states/eV per cell

```
&SYSTEM
  ibrav = 0, nat = 13, ntyp = 2
/
ATOMIC_SPECIES
Cs 132.91 Cs.upf
Na 22.99 Na.upf
ATOMIC_POSITIONS angstrom
Cs 0.000 0.000 0.000
Na -1.839 -4.716 -4.605
Na -1.543 -4.377 -1.177
Na 3.779 -1.936 -5.366
Na 4.076 -1.598 -1.939
Na 4.092 -5.204 -3.327
Na 0.976 -6.746 -2.905
Na 1.452 -4.751 -6.630
Na 3.022 -7.876 -6.458
Na -0.857 -7.844 -6.125
Na 5.331 -4.783 -6.963
Na 3.498 -9.755 -9.800
Na 0.975 -2.872 -3.288
CELL_PARAMETERS angstrom
-0.594 -0.677 -6.855
8.153 -3.195 -3.877
-3.085 -8.755 -2.355
```